# DyCd4Ag4 PBE relaxed
data_DyCd4Ag4
_chemical_formula_sum 'Dy2 Cd8 Ag8'
_cell_length_a 4.871
_cell_length_b 8.974
_cell_length_c 8.974
_cell_angle_alpha 90.00
_cell_angle_beta 90.00
_cell_angle_gamma 90.00
_symmetry_space_group_name_H-M 'P 1'
_symmetry_Int_Tables_number 1
_symmetry_space_group_name_Hall 'P 1'
loop_
_atom_site_label
_atom_site_type_symbol
_atom_site_fract_x
_atom_site_fract_y
_atom_site_fract_z
Cd1 Cd 0.000 0.353 0.069
Cd2 Cd 0.500 0.147 0.431
Cd3 Cd 0.000 0.069 0.647
Cd4 Cd 0.000 0.931 0.353
Cd5 Cd 0.500 0.853 0.569
Cd6 Cd 0.500 0.569 0.147
Cd7 Cd 0.000 0.647 0.931
Cd8 Cd 0.500 0.431 0.853
Ag1 Ag 0.000 0.619 0.302
Ag2 Ag 0.500 0.119 0.802
Ag3 Ag 0.000 0.381 0.698
Ag4 Ag 0.000 0.302 0.381
Ag5 Ag 0.500 0.881 0.198
Ag6 Ag 0.500 0.802 0.881
Ag7 Ag 0.500 0.198 0.119
Ag8 Ag 0.000 0.698 0.619
Dy1 Dy 0.500 0.500 0.500
Dy2 Dy 0.000 0.000 0.000
# E_form = -3.44 kJ per mole of atoms
# Total DFT energy (no corrections) = -0.1632 Ry per atom
# Crystal system = tetragonal

***

# CaSmAu PBE relaxed
data_CaSmAu
_chemical_formula_sum 'Ca1 Sm1 Au1'
_cell_length_a 5.065
_cell_length_b 5.065
_cell_length_c 5.065
_cell_angle_alpha 60.00
_cell_angle_beta 60.00
_cell_angle_gamma 60.00
_symmetry_space_group_name_H-M 'P 1'
_symmetry_Int_Tables_number 1
_symmetry_space_group_name_Hall 'P 1'
loop_
_atom_site_label
_atom_site_type_symbol
_atom_site_fract_x
_atom_site_fract_y
_atom_site_fract_z
Ca1 Ca 0.500 0.500 0.500
Au1 Au 0.250 0.250 0.250
Sm1 Sm 0.000 0.000 0.000
# E_form = -44.45 kJ per mole of atoms
# Distance to the lowest polymorph of the same formula = 0.053 eV per atom
# Total DFT energy (no corrections) = -0.2788 Ry per atom
# Crystal system = cubic

***

# Li8SbAu6 PBE relaxed
data_Li8SbAu6
_chemical_formula_sum 'Li8 Sb1 Au6'
_cell_length_a 7.834
_cell_length_b 7.834
_cell_length_c 7.031
_cell_angle_alpha 56.15
_cell_angle_beta 56.15
_cell_angle_gamma 60.00
_symmetry_space_group_name_H-M 'P 1'
_symmetry_Int_Tables_number 1
_symmetry_space_group_name_Hall 'P 1'
loop_
_atom_site_label
_atom_site_type_symbol
_atom_site_fract_x
_atom_site_fract_y
_atom_site_fract_z
Li1 Li 0.425 0.798 0.655
Li2 Li 0.335 0.335 0.994
Li3 Li 0.575 0.202 0.345
Li4 Li 0.122 0.425 0.655
Li5 Li 0.665 0.665 0.006
Li6 Li 0.202 0.878 0.345
Li7 Li 0.798 0.122 0.655
Li8 Li 0.878 0.575 0.345
Au1 Au 0.590 0.948 0.164
Au2 Au 0.298 0.590 0.164
Au3 Au 0.948 0.298 0.164
Au4 Au 0.410 0.052 0.836
Au5 Au 0.702 0.410 0.836
Au6 Au 0.052 0.702 0.836
Sb1 Sb 0.000 0.000 0.000
# Total DFT energy (no corrections) = -0.2209 Ry per atom
# Crystal system = trigonal
# Formation energy without anion corrections = -0.40 eV per atom

***

# Pr2Zn6Pt PBE relaxed
data_Pr2Zn6Pt
_chemical_formula_sum 'Pr2 Zn6 Pt1'
_cell_length_a 5.676
_cell_length_b 5.936
_cell_length_c 5.936
_cell_angle_alpha 59.98
_cell_angle_beta 90.02
_cell_angle_gamma 90.02
_symmetry_space_group_name_H-M 'P 1'
_symmetry_Int_Tables_number 1
_symmetry_space_group_name_Hall 'P 1'
loop_
_atom_site_label
_atom_site_type_symbol
_atom_site_fract_x
_atom_site_fract_y
_atom_site_fract_z
Pt1 Pt 0.000 0.000 0.000
Zn1 Zn 0.330 0.822 0.822
Zn2 Zn 0.330 0.355 0.822
Zn3 Zn 0.670 0.178 0.645
Zn4 Zn 0.670 0.645 0.178
Zn5 Zn 0.330 0.822 0.355
Zn6 Zn 0.670 0.178 0.178
Pr1 Pr 0.170 0.333 0.333
Pr2 Pr 0.830 0.667 0.667
# E_form = -42.93 kJ per mole of atoms
# Total DFT energy (no corrections) = -0.2225 Ry per atom
# Crystal system = trigonal

***

# La2IBr PBE relaxed
data_La2IBr
_chemical_formula_sum 'La2 I1 Br1'
_cell_length_a 3.901
_cell_length_b 3.901
_cell_length_c 9.770
_cell_angle_alpha 78.48
_cell_angle_beta 78.48
_cell_angle_gamma 60.00
_symmetry_space_group_name_H-M 'P 1'
_symmetry_Int_Tables_number 1
_symmetry_space_group_name_Hall 'P 1'
loop_
_atom_site_label
_atom_site_type_symbol
_atom_site_fract_x
_atom_site_fract_y
_atom_site_fract_z
I1 I 0.500 0.500 0.501
La1 La 0.081 0.081 0.757
La2 La 0.252 0.252 0.244
Br1 Br 0.667 0.667 0.998
# Distance to the lowest polymorph of the same formula = 0.000 eV per atom
# Total DFT energy (no corrections) = -0.3247 Ry per atom
# Crystal system = trigonal
# Formation energy without anion corrections = -1.15 eV per atom

***

# PrB2C2 PBE relaxed
data_PrB2C2
_chemical_formula_sum 'Pr2 B4 C4'
_cell_length_a 3.832
_cell_length_b 3.832
_cell_length_c 7.809
_cell_angle_alpha 90.00
_cell_angle_beta 90.00
_cell_angle_gamma 90.00
_symmetry_space_group_name_H-M 'P 1'
_symmetry_Int_Tables_number 1
_symmetry_space_group_name_Hall 'P 1'
loop_
_atom_site_label
_atom_site_type_symbol
_atom_site_fract_x
_atom_site_fract_y
_atom_site_fract_z
B1 B 0.217 0.500 0.000
B2 B 0.783 0.500 0.000
B3 B 0.500 0.783 0.500
B4 B 0.500 0.217 0.500
C1 C 0.187 0.500 0.500
C2 C 0.500 0.187 0.000
C3 C 0.500 0.813 0.000
C4 C 0.813 0.500 0.500
Pr1 Pr 0.000 0.000 0.250
Pr2 Pr 0.000 0.000 0.750
# E_form = -25.93 kJ per mole of atoms
# Total DFT energy (no corrections) = -0.5575 Ry per atom
# Crystal system = tetragonal

***

# CaSmPt PBE relaxed
data_CaSmPt
_chemical_formula_sum 'Ca2 Sm2 Pt2'
_cell_length_a 5.673
_cell_length_b 5.864
_cell_length_c 5.669
_cell_angle_alpha 97.00
_cell_angle_beta 81.17
_cell_angle_gamma 82.77
_symmetry_space_group_name_H-M 'P 1'
_symmetry_Int_Tables_number 1
_symmetry_space_group_name_Hall 'P 1'
loop_
_atom_site_label
_atom_site_type_symbol
_atom_site_fract_x
_atom_site_fract_y
_atom_site_fract_z
Pt1 Pt 0.319 0.924 0.686
Pt2 Pt 0.686 0.084 0.318
Sm1 Sm 0.210 0.003 0.209
Sm2 Sm 0.795 0.005 0.794
Ca1 Ca 0.274 0.440 0.728
Ca2 Ca 0.730 0.568 0.275
# E_form = -75.35 kJ per mole of atoms
# Distance to the lowest polymorph of the same formula = 0.005 eV per atom
# Total DFT energy (no corrections) = -0.3700 Ry per atom
# Crystal system = triclinic

***

# RbLi2SI PBE relaxed
data_RbLi2SI
_chemical_formula_sum 'Rb2 Li4 S2 I2'
_cell_length_a 4.423
_cell_length_b 7.630
_cell_length_c 9.054
_cell_angle_alpha 105.82
_cell_angle_beta 90.00
_cell_angle_gamma 90.00
_symmetry_space_group_name_H-M 'P 1'
_symmetry_Int_Tables_number 1
_symmetry_space_group_name_Hall 'P 1'
loop_
_atom_site_label
_atom_site_type_symbol
_atom_site_fract_x
_atom_site_fract_y
_atom_site_fract_z
Li1 Li 0.250 0.533 0.913
Li2 Li 0.250 0.470 0.332
Li3 Li 0.750 0.467 0.087
Li4 Li 0.750 0.530 0.668
S1 S 0.750 0.680 0.929
S2 S 0.250 0.320 0.071
Rb1 Rb 0.750 0.063 0.816
Rb2 Rb 0.250 0.937 0.184
I1 I 0.750 0.709 0.428
I2 I 0.250 0.291 0.572
# Distance to the lowest polymorph of the same formula = 0.000 eV per atom
# Total DFT energy (no corrections) = -0.2466 Ry per atom
# Crystal system = monoclinic
# Formation energy without anion corrections = -1.26 eV per atom

***

# Li7MnAs4 PBE relaxed
data_Li7MnAs4
_chemical_formula_sum 'Li14 Mn2 As8'
_cell_length_a 6.032
_cell_length_b 11.952
_cell_length_c 8.449
_cell_angle_alpha 44.94
_cell_angle_beta 89.99
_cell_angle_gamma 90.00
_symmetry_space_group_name_H-M 'P 1'
_symmetry_Int_Tables_number 1
_symmetry_space_group_name_Hall 'P 1'
loop_
_atom_site_label
_atom_site_type_symbol
_atom_site_fract_x
_atom_site_fract_y
_atom_site_fract_z
As1 As 0.466 0.734 0.266
As2 As 0.536 0.234 0.266
As3 As 0.966 0.001 0.266
As4 As 0.536 0.768 0.733
As5 As 0.036 0.501 0.266
As6 As 0.466 0.268 0.733
As7 As 0.966 0.001 0.733
As8 As 0.036 0.501 0.733
Li1 Li 0.295 0.501 0.999
Li2 Li 0.751 0.262 0.499
Li3 Li 0.751 0.740 0.500
Li4 Li 0.707 0.001 0.999
Li5 Li 0.251 0.240 0.021
Li6 Li 0.251 0.001 0.499
Li7 Li 0.751 0.262 0.978
Li8 Li 0.207 0.001 0.999
Li9 Li 0.251 0.762 0.978
Li10 Li 0.251 0.240 0.500
Li11 Li 0.751 0.740 0.021
Li12 Li 0.795 0.501 0.999
Li13 Li 0.251 0.762 0.499
Li14 Li 0.751 0.501 0.499
Mn1 Mn 0.251 0.501 0.500
Mn2 Mn 0.751 0.001 0.500
# E_form = -53.02 kJ per mole of atoms
# Distance to the lowest polymorph of the same formula = 0.000 eV per atom
# Total DFT energy (no corrections) = -0.2925 Ry per atom
# Crystal system = orthorhombic

***

# LiPtSe2 PBE relaxed
data_LiPtSe2
_chemical_formula_sum 'Li2 Pt2 Se4'
_cell_length_a 5.596
_cell_length_b 5.596
_cell_length_c 7.316
_cell_angle_alpha 67.51
_cell_angle_beta 67.51
_cell_angle_gamma 90.00
_symmetry_space_group_name_H-M 'P 1'
_symmetry_Int_Tables_number 1
_symmetry_space_group_name_Hall 'P 1'
loop_
_atom_site_label
_atom_site_type_symbol
_atom_site_fract_x
_atom_site_fract_y
_atom_site_fract_z
Se1 Se 0.375 0.351 0.750
Se2 Se 0.101 0.625 0.250
Se3 Se 0.875 0.899 0.750
Se4 Se 0.649 0.125 0.250
Li1 Li 0.500 0.500 0.000
Li2 Li 0.250 0.750 0.500
Pt1 Pt 0.750 0.250 0.500
Pt2 Pt 0.000 0.000 0.000
# Total DFT energy (no corrections) = -0.3033 Ry per atom
# Crystal system = tetragonal
# Formation energy without anion corrections = -0.40 eV per atom

***

# MgTi2Be2Co5 PBE relaxed
data_MgTi2Be2Co5
_chemical_formula_sum 'Mg2 Ti4 Be4 Co10'
_cell_length_a 3.032
_cell_length_b 8.691
_cell_length_c 8.691
_cell_angle_alpha 90.00
_cell_angle_beta 90.00
_cell_angle_gamma 90.00
_symmetry_space_group_name_H-M 'P 1'
_symmetry_Int_Tables_number 1
_symmetry_space_group_name_Hall 'P 1'
loop_
_atom_site_label
_atom_site_type_symbol
_atom_site_fract_x
_atom_site_fract_y
_atom_site_fract_z
Be1 Be 0.000 0.380 0.120
Be2 Be 0.000 0.880 0.380
Be3 Be 0.000 0.620 0.880
Be4 Be 0.000 0.120 0.620
Co1 Co 0.500 0.570 0.718
Co2 Co 0.500 0.782 0.930
Co3 Co 0.500 0.000 0.500
Co4 Co 0.500 0.218 0.070
Co5 Co 0.500 0.500 0.000
Co6 Co 0.500 0.930 0.218
Co7 Co 0.500 0.718 0.430
Co8 Co 0.500 0.282 0.570
Co9 Co 0.500 0.070 0.782
Co10 Co 0.500 0.430 0.282
Mg1 Mg 0.000 0.000 0.000
Mg2 Mg 0.000 0.500 0.500
Ti1 Ti 0.000 0.177 0.323
Ti2 Ti 0.000 0.677 0.177
Ti3 Ti 0.000 0.823 0.677
Ti4 Ti 0.000 0.323 0.823
# E_form = -23.11 kJ per mole of atoms
# Total DFT energy (no corrections) = -0.4613 Ry per atom
# Crystal system = tetragonal

***

# BaTlCu2 PBE relaxed
data_BaTlCu2
_chemical_formula_sum 'Ba2 Tl2 Cu4'
_cell_length_a 5.087
_cell_length_b 5.087
_cell_length_c 9.828
_cell_angle_alpha 75.00
_cell_angle_beta 75.00
_cell_angle_gamma 90.00
_symmetry_space_group_name_H-M 'P 1'
_symmetry_Int_Tables_number 1
_symmetry_space_group_name_Hall 'P 1'
loop_
_atom_site_label
_atom_site_type_symbol
_atom_site_fract_x
_atom_site_fract_y
_atom_site_fract_z
Cu1 Cu 0.375 0.125 0.750
Cu2 Cu 0.875 0.125 0.750
Cu3 Cu 0.875 0.125 0.250
Cu4 Cu 0.875 0.625 0.250
Tl1 Tl 0.000 0.000 0.000
Tl2 Tl 0.750 0.250 0.500
Ba1 Ba 0.250 0.750 0.500
Ba2 Ba 0.500 0.500 0.000
# E_form = 8.01 kJ per mole of atoms
# Total DFT energy (no corrections) = -0.2232 Ry per atom
# Crystal system = tetragonal

***

> Which value of total DFT energy (no corrections) does entry 5 give?

-0.3247 Ry per atom

***

> Which value of total DFT energy (no corrections) does entry 8 give?

-0.2466 Ry per atom

***

> Which of these has the lowest total DFT energy (no corrections)?

PrB2C2

***

> total DFT energy (no corrections) of number 11 (MgTi2Be2Co5)?

-0.4613 Ry per atom